A geometry-optimized CrNiRu2 structure. Source: Alexandria, functional GGA-PBEsol.

Output
Density of states at the Fermi level in states/eV/cell: 9.09
Formation enthalpy at 0 K in meV per atom: 94
V in Å³/cell: 97.24

Cell lengths 3.618, 3.618, 7.430 Å; angles 90.00, 90.00, 90.00 degrees
Space group I-4m2 (No. 119)
One atom of each set of equivalent atoms:
1 Cr 0.000 0.000 0.000 x2
2 Ni 0.000 0.500 0.750 x2
3 Ru 0.000 0.000 0.500 x2
4 Ru 0.000 0.500 0.250 x2